VASP calculation (PBE) on an optimized crystal structure of Tm3Zn2Ag3.

Results
electronic total energy: -3.335 eV/atom
formation energy: -0.27 eV/atom
space-group type: P-62m

Cell: 3.7996 7.2382 7.2382 Å, 120.00 90.00 90.00°
Element x y z (fractional)
Tm: 0.5000 0.3875 0.3875
Tm: 0.5000 0.0000 0.6125
Tm: 0.5000 0.6125 0.0000
Ag: 0.0000 0.7603 0.7603
Ag: 0.0000 0.2397 0.0000
Ag: 0.0000 0.0000 0.2397
Zn: 0.0000 0.6667 0.3333
Zn: 0.0000 0.3333 0.6667